! GGA-PBE Nd4CO3, relaxed; values from VASP
! **SG**: No. 13
&SYSTEM
  ibrav = 0, nat = 16, ntyp = 3
/
ATOMIC_SPECIES
Nd 144.24 Nd.upf
C 12.01 C.upf
O 16.00 O.upf
CELL_PARAMETERS angstrom
6.2761 0.0000 0.0000
0.0000 7.2884 0.0000
-2.0988 0.0000 5.9246
ATOMIC_POSITIONS crystal
Nd 0.2469 0.1211 0.0004
Nd 0.2469 0.8789 0.5004
Nd 0.2479 0.3705 0.4954
Nd 0.2479 0.6295 0.9954
Nd 0.7521 0.3705 0.0046
Nd 0.7521 0.6295 0.5046
Nd 0.7531 0.1211 0.4996
Nd 0.7531 0.8789 0.9996
C 0.0000 0.1310 0.2500
C 0.0000 0.8690 0.7500
O 0.0000 0.3795 0.7500
O 0.0000 0.6205 0.2500
O 0.5000 0.1316 0.7500
O 0.5000 0.3785 0.2500
O 0.5000 0.6215 0.7500
O 0.5000 0.8684 0.2500



! GGA-PBE Nd3CO, relaxed; values from VASP
! **SG**: No. 12
&SYSTEM
  ibrav = 0, nat = 10, ntyp = 3
/
ATOMIC_SPECIES
Nd 144.24 Nd.upf
C 12.01 C.upf
O 16.00 O.upf
CELL_PARAMETERS angstrom
3.1881 -5.7993 0.0000
3.1881 5.7993 0.0000
-2.4158 0.0000 6.2566
ATOMIC_POSITIONS crystal
Nd 0.0757 0.4153 0.7261
Nd 0.2365 0.2365 0.2542
Nd 0.4153 0.0757 0.7261
Nd 0.5847 0.9243 0.2739
Nd 0.7635 0.7635 0.7458
Nd 0.9243 0.5847 0.2739
C 0.3394 0.6606 0.5000
C 0.6606 0.3394 0.5000
O 0.1795 0.1795 0.8908
O 0.8205 0.8205 0.1092



! GGA-PBE NdCO3, relaxed; values from VASP
! **SG**: No. 11
&SYSTEM
  ibrav = 0, nat = 10, ntyp = 3
/
ATOMIC_SPECIES
Nd 144.24 Nd.upf
C 12.01 C.upf
O 16.00 O.upf
CELL_PARAMETERS angstrom
4.2689 0.0000 0.0000
0.0000 4.9516 0.0000
-0.9937 0.0000 5.6769
ATOMIC_POSITIONS crystal
Nd 0.2125 0.2500 0.2682
Nd 0.7875 0.7500 0.7318
C 0.2216 0.2500 0.7875
C 0.7784 0.7500 0.2125
O 0.0716 0.7500 0.1427
O 0.2855 0.0188 0.6763
O 0.2855 0.4812 0.6763
O 0.7145 0.5188 0.3237
O 0.7145 0.9812 0.3237
O 0.9284 0.2500 0.8573



! GGA-PBE Nd2CO, relaxed; values from VASP
! **Relative energy among the computed polymorphs**: 8 meV per atom
! **SG**: No. 59
&SYSTEM
  ibrav = 0, nat = 8, ntyp = 3
/
ATOMIC_SPECIES
Nd 144.24 Nd.upf
C 12.01 C.upf
O 16.00 O.upf
CELL_PARAMETERS angstrom
3.7209 0.0000 0.0000
0.0000 5.1523 0.0000
0.0000 0.0000 7.4006
ATOMIC_POSITIONS crystal
Nd 0.2500 0.2500 0.1224
Nd 0.2500 0.2500 0.6276
Nd 0.7500 0.7500 0.3724
Nd 0.7500 0.7500 0.8776
C 0.2500 0.7500 0.1385
C 0.7500 0.2500 0.8615
O 0.2500 0.7500 0.6230
O 0.7500 0.2500 0.3770



! GGA-PBE NdCO3, relaxed; values from VASP
! **SG**: No. 62
&SYSTEM
  ibrav = 0, nat = 20, ntyp = 3
/
ATOMIC_SPECIES
Nd 144.24 Nd.upf
C 12.01 C.upf
O 16.00 O.upf
CELL_PARAMETERS angstrom
4.5111 0.0000 0.0000
0.0000 7.9218 0.0000
0.0000 0.0000 6.8613
ATOMIC_POSITIONS crystal
Nd 0.0000 0.0000 0.0000
Nd 0.0000 0.5000 0.0000
Nd 0.5000 0.0000 0.5000
Nd 0.5000 0.5000 0.5000
C 0.0068 0.2500 0.4407
C 0.4932 0.7500 0.9407
C 0.5068 0.2500 0.0593
C 0.9932 0.7500 0.5593
O 0.0210 0.6033 0.6549
O 0.0210 0.8967 0.6549
O 0.2089 0.2500 0.5875
O 0.2911 0.7500 0.0875
O 0.4790 0.1033 0.1549
O 0.4790 0.3967 0.1549
O 0.5210 0.6033 0.8451
O 0.5210 0.8967 0.8451
O 0.7089 0.2500 0.9125
O 0.7911 0.7500 0.4125
O 0.9790 0.1033 0.3451
O 0.9790 0.3967 0.3451



! GGA-PBE Nd4CO2, relaxed; values from VASP
! **SG**: No. 91
&SYSTEM
  ibrav = 0, nat = 28, ntyp = 3
/
ATOMIC_SPECIES
Nd 144.24 Nd.upf
C 12.01 C.upf
O 16.00 O.upf
CELL_PARAMETERS angstrom
7.4494 0.0000 0.0000
0.0000 7.4494 0.0000
0.0000 0.0000 10.5105
ATOMIC_POSITIONS crystal
Nd 0.0027 0.2428 0.2468
Nd 0.0027 0.7572 0.2532
Nd 0.2424 0.4796 0.9962
Nd 0.2424 0.5204 0.5038
Nd 0.2428 0.0027 0.5032
Nd 0.2428 0.9973 0.9968
Nd 0.4796 0.2424 0.7538
Nd 0.4796 0.7576 0.7462
Nd 0.5204 0.2424 0.2462
Nd 0.5204 0.7576 0.2538
Nd 0.7572 0.0027 0.4968
Nd 0.7572 0.9973 0.0032
Nd 0.7576 0.4796 0.0038
Nd 0.7576 0.5204 0.4962
Nd 0.9973 0.2428 0.7532
Nd 0.9973 0.7572 0.7468
C 0.2437 0.5000 0.7500
C 0.5000 0.2437 0.0000
C 0.5000 0.7563 0.5000
C 0.7563 0.5000 0.2500
O 0.0000 0.2456 0.0000
O 0.0000 0.7544 0.5000
O 0.2456 0.0000 0.7500
O 0.2640 0.2640 0.3750
O 0.2640 0.7360 0.1250
O 0.7360 0.2640 0.6250
O 0.7360 0.7360 0.8750
O 0.7544 0.0000 0.2500



| no. | E_form (uncorrected) (eV/atom) | ρ (Mg/m³) |
| --- | --- | --- |
| 1 | -2.168 | 7.81 |
| 2 | -1.062 | 6.61 |
| 3 | -2.066 | 5.65 |
| 4 | -1.460 | 7.41 |
| 5 | -1.934 | 5.53 |
| 6 | -1.537 | 7.07 |